1.
Material: ZnFe2As
Method: DFT, GGA-PBEsol
State: relaxed

Cell lengths 4.000, 4.000, 2.867 Å; angles 90.00, 90.00, 90.00 degrees
Space group P4/mmm (No. 123)
Asymmetric unit:
Zn 0.000 0.000 0.000 x1
Fe 0.000 0.500 0.500 x2
As 0.500 0.500 0.000 x1

Computed properties:
Calculated total energy = -6.079 eV per atom

***

2.
Material: ZnFeAs2
Method: DFT, GGA-PBEsol
State: relaxed

Cell lengths 2.776, 3.635, 12.056 Å; angles 90.00, 90.00, 90.00 degrees
Space group Imm2 (No. 44)
Asymmetric unit:
Zn 0.000 0.000 0.000 x2
Fe 0.000 0.500 0.281 x2
As 0.000 0.000 0.623 x2
As 0.000 0.500 0.842 x2

Computed properties:
Calculated total energy = -5.128 eV per atom

***

3.
Material: Zn4FeAs
Method: DFT, GGA-PBEsol
State: relaxed

Cell lengths 6.975, 6.975, 6.975 Å; angles 90.00, 90.00, 90.00 degrees
Space group F-43m (No. 216)
Asymmetric unit:
Zn 0.124 0.124 0.124 x16
Fe 0.250 0.250 0.750 x4
As 0.000 0.000 0.500 x4

Computed properties:
Calculated total energy = -3.129 eV per atom

***

4.
Material: ZnFeAs
Method: DFT, GGA-PBEsol
State: relaxed

Cell lengths 5.783, 5.783, 5.783 Å; angles 90.00, 90.00, 90.00 degrees
Space group F-43m (No. 216)
Asymmetric unit:
Zn 0.000 0.000 0.000 x4
Fe 0.250 0.250 0.250 x4
As 0.250 0.250 0.750 x4

Computed properties:
Calculated total energy = -4.700 eV per atom

***

5.
Material: ZnFeAs2
Method: DFT, GGA-PBEsol
State: relaxed

Cell lengths 6.279, 6.279, 6.279 Å; angles 90.00, 90.00, 90.00 degrees
Space group F-43m (No. 216)
Asymmetric unit:
Zn 0.000 0.000 0.000 x4
Fe 0.250 0.250 0.250 x4
As 0.000 0.000 0.500 x4
As 0.250 0.250 0.750 x4

Computed properties:
Calculated total energy = -4.696 eV per atom

***

6.
Material: ZnFeAs2
Method: DFT, GGA-PBEsol
State: relaxed

Cell lengths 4.127, 4.127, 6.717 Å; angles 90.00, 90.00, 90.00 degrees
Space group I4/mmm (No. 139)
Asymmetric unit:
Zn 0.000 0.000 0.000 x2
Fe 0.000 0.000 0.500 x2
As 0.000 0.500 0.250 x4

Computed properties:
Calculated total energy = -4.925 eV per atom

***

7.
Material: ZrFeAs2
Method: DFT, GGA-PBEsol
State: relaxed

Cell lengths 6.345, 6.345, 6.345 Å; angles 90.00, 90.00, 90.00 degrees
Space group Fm-3m (No. 225)
Asymmetric unit:
Zr 0.000 0.000 0.000 x4
Fe 0.000 0.000 0.500 x4
As 0.250 0.250 0.250 x8

Computed properties:
Calculated total energy = -7.392 eV per atom

***

8.
Material: ZrFeAs2
Method: DFT, GGA-PBEsol
State: relaxed

Cell lengths 3.7470, 3.7470, 15.7130 Å; angles 90.00, 90.00, 120.00 degrees
Space group R-3m (No. 166, hexagonal axes)
Asymmetric unit:
Zr 0.0000 0.0000 0.0000 x3
Fe 0.0000 0.0000 0.5000 x3
As 0.0000 0.0000 0.2315 x6

Computed properties:
Calculated total energy = -7.603 eV per atom

***

9.
Material: ZrFe2As
Method: DFT, GGA-PBEsol
State: relaxed

Cell lengths 3.043, 3.043, 6.212 Å; angles 90.00, 90.00, 90.00 degrees
Space group P4mm (No. 99)
Asymmetric unit:
Zr 0.000 0.000 0.000 x1
Fe 0.000 0.000 0.520 x1
Fe 0.500 0.500 0.721 x1
As 0.500 0.500 0.322 x1

Computed properties:
Calculated total energy = -8.209 eV per atom

***

10.
Material: Zr3FeAs
Method: DFT, GGA-PBEsol
State: relaxed

Cell lengths 4.684, 4.684, 4.684 Å; angles 90.00, 90.00, 90.00 degrees
Space group Pm-3m (No. 221)
Asymmetric unit:
Zr 0.000 0.000 0.500 x3
Fe 0.000 0.000 0.000 x1
As 0.500 0.500 0.500 x1

Computed properties:
Calculated total energy = -8.262 eV per atom

***

11.
Material: ZrFeAs
Method: DFT, GGA-PBEsol
State: relaxed

Cell lengths 6.414, 3.867, 7.131 Å; angles 90.00, 90.00, 90.00 degrees
Space group Pnma (No. 62)
Asymmetric unit:
Zr 0.013 0.250 0.190 x4
Fe 0.146 0.250 0.564 x4
As 0.221 0.750 0.388 x4

Computed properties:
Calculated total energy = -8.583 eV per atom

***

12.
Material: GaAs
Method: DFT, GGA-PBEsol
State: relaxed

Cell lengths 5.659, 5.659, 5.659 Å; angles 90.00, 90.00, 90.00 degrees
Space group F-43m (No. 216)
Asymmetric unit:
Ga 0.000 0.000 0.000 x4
As 0.250 0.250 0.750 x4

Computed properties:
Calculated total energy = -4.546 eV per atom

***

13.
Material: Ga3As
Method: DFT, GGA-PBEsol
State: relaxed

Cell lengths 4.183, 4.183, 4.183 Å; angles 90.00, 90.00, 90.00 degrees
Space group Pm-3m (No. 221)
Asymmetric unit:
Ga 0.000 0.000 0.500 x3
As 0.500 0.500 0.500 x1

Computed properties:
Calculated total energy = -3.718 eV per atom

***

14.
Material: GaAs
Method: DFT, GGA-PBEsol
State: relaxed

Cell lengths 3.9885, 3.9885, 6.5726 Å; angles 90.00, 90.00, 120.00 degrees
Space group P6_3mc (No. 186)
Asymmetric unit:
Ga 0.3333 0.6667 0.0000 x2
As 0.3333 0.6667 0.6260 x2

Computed properties:
Calculated total energy = -4.535 eV per atom

***

15.
Material: GaAs
Method: DFT, GGA-PBEsol
State: relaxed

Cell lengths 2.698, 5.252, 2.698 Å; angles 90.00, 90.00, 90.00 degrees
Space group Pmm2 (No. 25)
Asymmetric unit:
Ga 0.000 0.000 0.000 x1
As 0.000 0.500 0.005 x1

Computed properties:
Calculated total energy = -4.167 eV per atom

***

16.
Material: GaGeAsN2
Method: DFT, GGA-PBEsol
State: relaxed

Cell lengths 3.794, 3.794, 5.266 Å; angles 90.00, 90.00, 90.00 degrees
Space group P4/mmm (No. 123)
Asymmetric unit:
Ga 0.000 0.000 0.000 x1
Ge 0.500 0.500 0.500 x1
As 0.000 0.000 0.500 x1
N 0.000 0.500 0.000 x2

Computed properties:
Formation energy from raw total energies = 1218 meV per atom

***

17.
Material: GaGeAs2Se
Method: DFT, GGA-PBEsol
State: relaxed

Cell lengths 4.889, 4.889, 4.979 Å; angles 90.00, 90.00, 90.00 degrees
Space group P4/mmm (No. 123)
Asymmetric unit:
Ga 0.000 0.000 0.000 x1
Ge 0.500 0.500 0.500 x1
As 0.000 0.500 0.500 x2
Se 0.500 0.500 0.000 x1

Computed properties:
Formation energy from raw total energies = 576 meV per atom

***

18.
Material: GaGeAsSe2
Method: DFT, GGA-PBEsol
State: relaxed

Cell lengths 4.890, 4.890, 4.793 Å; angles 90.00, 90.00, 90.00 degrees
Space group P4/mmm (No. 123)
Asymmetric unit:
Ga 0.000 0.000 0.000 x1
Ge 0.500 0.500 0.500 x1
As 0.000 0.000 0.500 x1
Se 0.000 0.500 0.000 x2

Computed properties:
Formation energy from raw total energies = 464 meV per atom

***

19.
Material: GaAsH3
Method: DFT, GGA-PBEsol
State: relaxed

Cell lengths 3.625, 3.625, 3.625 Å; angles 90.00, 90.00, 90.00 degrees
Space group Pm-3m (No. 221)
Asymmetric unit:
Ga 0.000 0.000 0.000 x1
As 0.500 0.500 0.500 x1
H 0.000 0.000 0.500 x3

Computed properties:
Calculated total energy = -2.981 eV per atom

***

20.
Material: HfGaAs2
Method: DFT, GGA-PBEsol
State: relaxed

Cell lengths 5.972, 5.972, 11.296 Å; angles 90.00, 90.00, 90.00 degrees
Space group I-42d (No. 122)
Asymmetric unit:
Hf 0.000 0.000 0.000 x4
Ga 0.000 0.000 0.500 x4
As 0.238 0.250 0.625 x8

Computed properties:
Calculated total energy = -6.187 eV per atom

***

21.
Material: Hf2GaTeAs
Method: DFT, GGA-PBEsol
State: relaxed

Cell lengths 4.954, 4.954, 5.334 Å; angles 90.00, 90.00, 90.00 degrees
Space group P4/mmm (No. 123)
Asymmetric unit:
Hf 0.000 0.500 0.000 x2
Ga 0.000 0.000 0.500 x1
Te 0.500 0.500 0.500 x1
As 0.500 0.500 0.000 x1

Computed properties:
Formation energy from raw total energies = 560 meV per atom

***

22.
Material: GaHgAs2
Method: DFT, GGA-PBEsol
State: relaxed

Cell lengths 6.801, 6.801, 6.801 Å; angles 90.00, 90.00, 90.00 degrees
Space group Fm-3m (No. 225)
Asymmetric unit:
Ga 0.000 0.000 0.000 x4
Hg 0.000 0.000 0.500 x4
As 0.250 0.250 0.250 x8

Computed properties:
Calculated total energy = -3.216 eV per atom

***

23.
Material: GaHg2As
Method: DFT, GGA-PBEsol
State: relaxed

Cell lengths 6.955, 6.955, 6.955 Å; angles 90.00, 90.00, 90.00 degrees
Space group Fm-3m (No. 225)
Asymmetric unit:
Ga 0.000 0.000 0.000 x4
Hg 0.250 0.250 0.250 x8
As 0.000 0.000 0.500 x4

Computed properties:
Calculated total energy = -2.230 eV per atom

***

24.
Material: Nb2GaHgAs
Method: DFT, GGA-PBEsol
State: relaxed

Cell lengths 4.784, 4.784, 4.668 Å; angles 90.00, 90.00, 90.00 degrees
Space group P4/mmm (No. 123)
Asymmetric unit:
Nb 0.000 0.500 0.000 x2
Ga 0.000 0.000 0.500 x1
Hg 0.500 0.500 0.500 x1
As 0.000 0.000 0.000 x1

Computed properties:
Calculated total energy = -5.412 eV per atom

***

25.
Material: GaAsI2
Method: DFT, GGA-PBEsol
State: relaxed

Cell lengths 5.508, 5.508, 18.235 Å; angles 90.00, 90.00, 90.00 degrees
Space group I-42d (No. 122)
Asymmetric unit:
Ga 0.000 0.000 0.000 x4
As 0.000 0.000 0.500 x4
I 0.220 0.250 0.625 x8

Computed properties:
Formation energy from raw total energies = 301 meV per atom

***

26.
Material: GaAsIN2
Method: DFT, GGA-PBEsol
State: relaxed

Cell lengths 3.921, 3.921, 6.287 Å; angles 90.00, 90.00, 90.00 degrees
Space group P4/mmm (No. 123)
Asymmetric unit:
Ga 0.000 0.000 0.000 x1
As 0.500 0.500 0.500 x1
I 0.000 0.000 0.500 x1
N 0.000 0.500 0.000 x2

Computed properties:
Formation energy from raw total energies = 1417 meV per atom

***

27.
Material: GaSb2AsI
Method: DFT, GGA-PBEsol
State: relaxed

Cell lengths 5.427, 5.427, 4.726 Å; angles 90.00, 90.00, 90.00 degrees
Space group P4/mmm (No. 123)
Asymmetric unit:
Ga 0.000 0.000 0.000 x1
Sb 0.000 0.500 0.000 x2
As 0.000 0.000 0.500 x1
I 0.500 0.500 0.500 x1

Computed properties:
Formation energy from raw total energies = 532 meV per atom

***

28.
Material: GaAsSe2I
Method: DFT, GGA-PBEsol
State: relaxed

Cell lengths 4.857, 4.857, 5.139 Å; angles 90.00, 90.00, 90.00 degrees
Space group P4/mmm (No. 123)
Asymmetric unit:
Ga 0.000 0.000 0.000 x1
As 0.000 0.000 0.500 x1
Se 0.000 0.500 0.000 x2
I 0.500 0.500 0.500 x1

Computed properties:
Formation energy from raw total energies = 426 meV per atom

***

29.
Material: InGa2As2
Method: DFT, GGA-PBEsol
State: relaxed

Cell lengths 4.064, 4.064, 13.254 Å; angles 90.00, 90.00, 90.00 degrees
Space group I4/mmm (No. 139)
Asymmetric unit:
In 0.000 0.000 0.000 x2
Ga 0.000 0.500 0.250 x4
As 0.000 0.000 0.374 x4

Computed properties:
Calculated total energy = -3.974 eV per atom

***

| no. | total magnetic moment (μB per formula unit) |
| --- | --- |
| 1 | 0.6 |
| 2 | 0.0 |
| 3 | 1.4 |
| 4 | 2.9 |
| 5 | 2.2 |
| 6 | 0.7 |
| 7 | 2.1 |
| 8 | 0.0 |
| 9 | 3.8 |
| 10 | 0.0 |
| 11 | 0.0 |
| 12 | 0.0 |
| 13 | 0.0 |
| 14 | 0.0 |
| 15 | 0.0 |
| 16 | 0.0 |
| 17 | 0.0 |
| 18 | 0.0 |
| 19 | 0.0 |
| 20 | 0.0 |
| 21 | 0.0 |
| 22 | 0.0 |
| 23 | 0.0 |
| 24 | 0.0 |
| 25 | 0.0 |
| 26 | 3.1 |
| 27 | 0.0 |
| 28 | 0.0 |
| 29 | 0.0 |